This record from Alexandria describes Sr2Ru after structural relaxation. The functional is GGA-PBE.

Theoretical density   4.442 g cm⁻³
Volume   206.6 Å³/cell
E_form   0.510 eV/atom
Space-group type   Pnnm, No. 58
Fermi-level density of states   8.9 states/eV per cell

Lattice parameters (Å, degrees): 3.7317 7.3158 7.5666 90.00 90.00 90.00
Closest atoms and distances in Å follow each position.
Element x y z (fractional)
Sr 0.5000 0.7364 0.8225  3 Ru 2.99-3.00
Sr 0.0000 0.2364 0.6775  3 Ru 2.99-3.00
Sr 0.0000 0.7636 0.3225  3 Ru 2.99-3.00
Sr 0.5000 0.2636 0.1775  3 Ru 2.99-3.00
Ru 0.5000 0.5000 0.5000  6 Sr 2.99-3.00
Ru 0.0000 0.0000 0.0000  6 Sr 2.99-3.00

This record from Alexandria describes Sr3Ru after structural relaxation. The functional is GGA-PBE.

Theoretical density   3.898 g cm⁻³
Volume   310.0 Å³/cell
E_form   0.325 eV/atom
Space-group type   Pmmn, No. 59
Fermi-level density of states   6.7 states/eV per cell

Lattice parameters (Å, degrees): 4.0712 7.4550 10.2148 90.00 90.00 90.00
Closest atoms and distances in Å follow each position.
Element x y z (fractional)
Sr 0.0000 0.5000 0.5195  2 Ru 3.01
Sr 0.0000 0.7376 0.1777  2 Ru 2.98
Sr 0.0000 0.2624 0.1777  2 Ru 2.98
Sr 0.5000 0.0000 0.4805  2 Ru 3.01
Sr 0.5000 0.2376 0.8223  2 Ru 2.98
Sr 0.5000 0.7624 0.8223  2 Ru 2.98
Ru 0.0000 0.0000 0.6977  6 Sr 2.98-3.01
Ru 0.5000 0.5000 0.3023  6 Sr 2.98-3.01

This record from Alexandria describes Sr2Ru after structural relaxation. The functional is GGA-PBE.

Theoretical density   4.603 g cm⁻³
Volume   398.7 Å³/cell
E_form   0.522 eV/atom
Space-group type   Pa-3, No. 205
Fermi-level density of states   21.3 states/eV per cell

Lattice parameters (Å, degrees): 7.3603 7.3603 7.3603 90.00 90.00 90.00
Closest atoms and distances in Å follow each position.
Element x y z (fractional)
Sr 0.1702 0.8298 0.6702  3 Ru 3.01
Sr 0.8298 0.1702 0.3298  3 Ru 3.01
Sr 0.1702 0.6702 0.1702  3 Ru 3.01
Sr 0.8298 0.3298 0.8298  3 Ru 3.01
Sr 0.3298 0.3298 0.6702  3 Ru 3.01
Sr 0.6702 0.8298 0.8298  3 Ru 3.01
Sr 0.3298 0.1702 0.1702  3 Ru 3.01
Sr 0.6702 0.6702 0.3298  3 Ru 3.01
Ru 0.5000 0.0000 0.5000  6 Sr 3.01
Ru 0.5000 0.5000 0.0000  6 Sr 3.01
Ru 0.0000 0.0000 0.0000  6 Sr 3.01
Ru 0.0000 0.5000 0.5000  6 Sr 3.01

This record from Alexandria describes Sr3Ru after structural relaxation. The functional is GGA-PBE.

Theoretical density   4.456 g cm⁻³
Volume   135.6 Å³/cell
E_form   0.550 eV/atom
Space-group type   P4mm, No. 99
Fermi-level density of states   1.8 states/eV per cell

Lattice parameters (Å, degrees): 5.0001 5.0005 5.4239 90.00 90.00 90.00
Closest atoms and distances in Å follow each position.
Element x y z (fractional)
Sr 0.0000 0.5000 0.3826  2 Ru 3.26, 6 Sr 3.54-3.61
Sr 0.5000 0.0000 0.3834  2 Ru 3.26, 6 Sr 3.54-3.61
Sr 0.5000 0.5000 0.9033  4 Ru 3.57, 8 Sr 3.61-3.77
Ru 0.0000 0.0000 0.9974  8 Sr 3.26-3.57